Entry from the Alexandria database: crystalline MnSi2SN at its relaxed geometry (PBE-GGA).

Values from the calculation:
For the energy relative to the lowest polymorph listed for this composition, the calculation gives 399 meV/atom. The value obtained for the total DFT energy (no corrections) is -6.55 eV/atom. As for the raw formation energy: -0.059 eV per atom. As for the spin magnetization: 0.0 Bohr magnetons per cell. For the volume, the calculation gives 60.16 Å³/cell.

a b c (Å): 2.902 4.477 4.978
angles (deg): 111.37 90.75 91.98
Fractional positions:
Mn (0.000, 0.000, 0.000)
Si (0.471, 0.553, 0.812)
Si (0.662, 0.897, 0.380)
S (0.182, 0.497, 0.354)
N (0.533, 0.135, 0.752)